Record 1
## BeFeRe (PBE)

Data for BeFeRe after structural relaxation.

Cell: 4.782 4.782 2.744 Å, 73.33 73.33 33.34°
Sites, in units of the cell vectors:
Be1 0.015 0.015 0.985
Fe1 0.652 0.652 0.348
Re1 0.333 0.333 0.667

Summary:
Final energy in eV/cell: -25.0
E_form in eV per formula unit: -0.4


Record 2
## BeFeRe (PBE)

Data for BeFeRe after structural relaxation.

Cell: 2.648 2.648 5.895 Å, 90.00 90.00 120.00°
Last column: magnetic moment on the atom in μB.
Sites, in units of the cell vectors:
Re1 0.333 0.667 0.666  -0.12
Be1 0.000 0.000 0.014  -0.01
Fe1 0.667 0.333 0.321  1.10

Summary:
Final energy in eV/cell: -24.1
E_form in eV per formula unit: 0.5


Record 3
## BeFe4Re (PBE)

Data for BeFe4Re after structural relaxation.

Cell: 4.607 4.607 4.607 Å, 60.00 60.00 60.00°
Last column: magnetic moment on the atom in μB.
Sites, in units of the cell vectors:
Fe1 0.375 0.375 0.876  1.50
Re1 0.750 0.750 0.750  -0.41
Fe2 0.375 0.876 0.375  1.50
Fe3 0.876 0.375 0.375  1.50
Be1 0.000 0.000 0.000  -0.03
Fe4 0.375 0.375 0.375  1.50

Summary:
Final energy in eV/cell: -48.9
E_form in eV per formula unit: 1.1


Record 4
## BeFe3Re (PBE)

Data for BeFe3Re after structural relaxation.

Cell: 3.792 3.792 3.792 Å, 90.00 90.00 90.00°
Sites, in units of the cell vectors:
Fe1 0.500 0.000 0.000
Fe2 0.000 0.500 0.000
Fe3 0.000 0.000 0.500
Be1 0.000 0.000 0.000
Re1 0.500 0.500 0.500

Summary:
Final energy in eV/cell: -38.6
E_form in eV per formula unit: 2.9


Record 5
## Be2FeRe2 (PBE)

Data for Be2FeRe2 after structural relaxation.

Cell: 5.881 5.881 3.178 Å, 90.00 90.00 90.00°
Last column: magnetic moment on the atom in μB.
Sites, in units of the cell vectors:
Re1 0.176 0.676 0.500  0.10
Re2 0.824 0.324 0.500  0.10
Be1 0.622 0.122 0.000  -0.01
Fe1 0.500 0.500 0.000  1.92
Re3 0.676 0.824 0.500  0.10
Be2 0.122 0.378 0.000  -0.02
Be3 0.378 0.878 0.000  -0.02
Re4 0.324 0.176 0.500  0.10
Be4 0.878 0.622 0.000  -0.02
Fe2 0.000 0.000 0.000  1.92

Summary:
Final energy in eV/cell: -83.3
E_form in eV per formula unit: -0.8


Record 6
## BeFe3Re (PBE)

Data for BeFe3Re after structural relaxation.

Cell: 4.448 4.448 4.448 Å, 90.00 90.00 90.00°
Last column: magnetic moment on the atom in μB.
Sites, in units of the cell vectors:
Fe1 0.000 0.000 0.500  1.90
Be1 0.500 0.500 0.500  -0.09
Fe2 0.000 0.500 0.000  1.79
Re1 0.000 0.000 0.000  -0.33
Fe3 0.500 0.000 0.000  1.54

Summary:
Final energy in eV/cell: -32.7
E_form in eV per formula unit: 8.9


Record 7
## Be2Fe2Re (PBE)

Data for Be2Fe2Re after structural relaxation.

Cell: 6.186 6.186 2.699 Å, 90.00 90.00 90.00°
Last column: magnetic moment on the atom in μB.
Sites, in units of the cell vectors:
Re1 0.000 0.000 0.000  0.12
Be1 0.622 0.122 0.000  -0.06
Fe1 0.172 0.672 0.500  1.55
Fe2 0.828 0.328 0.500  1.56
Be2 0.122 0.378 0.000  -0.06
Fe3 0.672 0.828 0.500  1.54
Fe4 0.328 0.172 0.500  1.54
Be3 0.378 0.878 0.000  -0.06
Be4 0.878 0.622 0.000  -0.06
Re2 0.500 0.500 0.000  0.12

Summary:
Final energy in eV/cell: -74.7
E_form in eV per formula unit: -0.5


Record 8
## BeFeRe (PBE)

Data for BeFeRe after structural relaxation.

Cell: 3.843 3.843 2.621 Å, 90.00 90.00 120.00°
Sites, in units of the cell vectors:
Be1 0.000 0.000 0.167
Fe1 0.667 0.333 0.167
Re1 0.333 0.667 0.667

Summary:
Final energy in eV/cell: -24.8
E_form in eV per formula unit: -0.1